GGA-PBE Pa3Sn3Os2Au, optimized geometry; DFT total energy = -7.699 eV per atom; spin magnetization = 0.00 μB/cell; energy of formation = -32.8 kJ/mol of atoms
1.0
7.641 0.000 0.000
-3.821 6.618 0.000
0.000 0.000 3.936
Pa Sn Os Au
3 3 2 1
direct
0.000 0.407 0.000
0.407 0.000 0.000
0.593 0.593 0.000
0.000 0.734 0.500
0.266 0.266 0.500
0.734 0.000 0.500
0.333 0.667 0.500
0.667 0.333 0.500
0.000 0.000 0.000

GGA-PBE BaYW4, optimized geometry; DFT total energy = -9.326 eV per atom; spin magnetization = 0.00 μB/cell; energy of formation = 68.2 kJ/mol of atoms
1.0
0.000 3.987 3.987
3.987 0.000 3.987
3.987 3.987 0.000
Ba Y W
1 1 4
direct
0.000 0.000 0.000
0.250 0.250 0.250
0.125 0.625 0.625
0.625 0.125 0.625
0.625 0.625 0.125
0.625 0.625 0.625

GGA-PBE AcEu2Hg, optimized geometry; DFT total energy = -6.374 eV per atom; spin magnetization = 14.75 μB/cell; energy of formation = -12.9 kJ/mol of atoms; energy relative to the lowest polymorph listed for this composition = 0.46 eV per formula unit
1.0
5.034 0.000 0.000
0.000 5.034 0.000
0.000 0.000 5.521
Ac Eu Hg
1 2 1
direct
0.000 0.000 0.000
0.000 0.500 0.500
0.500 0.000 0.500
0.500 0.500 0.000